# LaBO2F SCAN PBEsol geometry
# - D(E_F): 0.264 states/eV/atom
# - Formation energy from raw total energies: -2.09 eV per atom
# - Size of the total moment: 0.0 μB per formula unit
# - V: 10.20 Å³ per atom
data_LaBO2F
_chemical_formula_sum 'La1 B1 O2 F1'
_symmetry_space_group_name_H-M 'P 1'
_symmetry_Int_Tables_number 1
_cell_length_a 3.609
_cell_length_b 3.609
_cell_length_c 3.914
_cell_angle_alpha 90.00
_cell_angle_beta 90.00
_cell_angle_gamma 90.00
loop_
_symmetry_equiv_pos_as_xyz
'x,y,z'
loop_
_atom_site_label
_atom_site_fract_x
_atom_site_fract_y
_atom_site_fract_z
La1 0.000 0.000 0.000
B1 0.500 0.500 0.500
O1 0.000 0.500 0.500
O2 0.500 0.000 0.500
F1 0.500 0.500 0.000